No. 1
# HoThZrTi

HoThZrTi after structural relaxation (PBE, Alexandria via LeMat-Bulk).

Results
DOS at the Fermi energy ... 1.49 states/eV/atom
E ... -6.9072 eV/atom
Space group ... No. 216
Size of the total moment ... 0.81 μB per cell
Calculated formation energy ... 0.203 eV per atom

Lattice parameters (Å, degrees): 5.251 5.251 5.251 60.00 60.00 60.00
Sites, in units of the cell vectors:
Ho (0.000, 0.000, 0.000)
Th (0.500, 0.500, 0.500)
Zr (0.750, 0.750, 0.750)
Ti (0.250, 0.250, 0.250)

---

No. 2
# GeBiS2

GeBiS2 after structural relaxation (PBE, Alexandria via LeMat-Bulk).

Results
DOS at the Fermi energy ... 0.24 states/eV/atom
E ... -4.1429 eV/atom
ΔE to the lowest computed polymorph ... 0.190 eV per atom
Space group ... No. 225
Size of the total moment ... 0.00 μB per cell
Raw formation energy ... 0.0454 eV/atom

Lattice parameters (Å, degrees): 4.890 4.890 4.890 60.00 60.00 60.00
Sites, in units of the cell vectors:
Ge (0.000, 0.000, 0.000)
Bi (0.500, 0.500, 0.500)
S (0.250, 0.250, 0.250)
S (0.750, 0.750, 0.750)

---

No. 3
# LaSm4Dy4

LaSm4Dy4 after structural relaxation (PBE, Alexandria via LeMat-Bulk).

Results
DOS at the Fermi energy ... 1.46 states/eV/atom
E ... -4.6704 eV/atom
Space group ... No. 2
Size of the total moment ... 0.00 μB per cell
Calculated formation energy ... 0.020 eV per atom

Lattice parameters (Å, degrees): 6.247 9.541 10.813 75.47 73.24 83.75
Sites, in units of the cell vectors:
La (0.054, 0.084, 0.196)
La (0.946, 0.916, 0.804)
Sm (0.166, 0.253, 0.582)
Sm (0.277, 0.418, 0.971)
Sm (0.390, 0.085, 0.859)
Sm (0.499, 0.252, 0.251)
Sm (0.501, 0.748, 0.749)
Sm (0.610, 0.915, 0.141)
Sm (0.723, 0.582, 0.029)
Sm (0.834, 0.747, 0.418)
Dy (0.057, 0.582, 0.693)
Dy (0.169, 0.747, 0.085)
Dy (0.281, 0.916, 0.472)
Dy (0.388, 0.583, 0.362)
Dy (0.612, 0.417, 0.638)
Dy (0.719, 0.084, 0.528)
Dy (0.831, 0.253, 0.915)
Dy (0.943, 0.418, 0.307)

---

No. 4
# Tb4Cu2HgRu

Tb4Cu2HgRu after structural relaxation (PBE, Alexandria via LeMat-Bulk).

Results
DOS at the Fermi energy ... 0.62 states/eV/atom
E ... -4.8786 eV/atom
Space group ... No. 166
Size of the total moment ... 0.00 μB per cell
Calculated formation energy ... -0.342 eV per atom

Lattice parameters (Å, degrees): 8.618 8.618 8.618 33.87 33.87 33.87
Sites, in units of the cell vectors:
Tb (0.117, 0.117, 0.117)
Tb (0.369, 0.369, 0.369)
Tb (0.631, 0.631, 0.631)
Tb (0.883, 0.883, 0.883)
Cu (0.247, 0.247, 0.247)
Cu (0.753, 0.753, 0.753)
Hg (0.500, 0.500, 0.500)
Ru (0.000, 0.000, 0.000)